Entry 1:
Material: AgAsBr4
Method: DFT, GGA-PBE
State: optimized geometry

Properties
**Formation energy from raw total energies**: 5.2 eV/f.u.
**Relative energy among the computed polymorphs**: 1246 meV/atom

a b c (Å): 6.3056 6.3056 6.3056
angles (deg): 60.00 60.00 60.00
Fractional positions:
Ag: 0.0000 0.0000 0.0000
As: 0.7500 0.7500 0.7500
Br: 0.3746 0.3746 0.3746
Br: 0.3746 0.3746 0.8763
Br: 0.3746 0.8763 0.3746
Br: 0.8763 0.3746 0.3746

---

Entry 2:
Material: LiSc2B2
Method: DFT, GGA-PBE
State: optimized geometry

Properties
**Energy of formation from the pure elements**: -0.269 eV/atom

a b c (Å): 6.3559 6.3559 3.4519
angles (deg): 90.00 90.00 90.00
Fractional positions:
Li: 0.0000 0.0000 0.0000
Li: 0.5000 0.5000 0.0000
Sc: 0.1808 0.3192 0.5000
Sc: 0.3192 0.8192 0.5000
Sc: 0.6808 0.1808 0.5000
Sc: 0.8192 0.6808 0.5000
B: 0.0919 0.5919 0.0000
B: 0.4081 0.0919 0.0000
B: 0.5919 0.9081 0.0000
B: 0.9081 0.4081 0.0000

---

Entry 3:
Material: Ac2Sm4Tl3H2
Method: DFT, GGA-PBE
State: optimized geometry

a b c (Å): 13.3718 13.3718 13.3718
angles (deg): 158.63 158.63 30.40
Fractional positions:
Ac: 0.1979 0.1979 0.0000
Ac: 0.8021 0.8021 0.0000
Sm: 0.0803 0.5803 0.5000
Sm: 0.4197 0.9197 0.5000
Sm: 0.5803 0.0803 0.5000
Sm: 0.9197 0.4197 0.5000
Tl: 0.3340 0.3340 0.0000
Tl: 0.5000 0.5000 0.0000
Tl: 0.6660 0.6660 0.0000
H: 0.0957 0.0957 0.0000
H: 0.9043 0.9043 0.0000

---

Entry 4:
Material: TlPAu
Method: DFT, GGA-PBE
State: optimized geometry

Properties
**Relative energy among the computed polymorphs**: 653 meV/atom
**Energy of formation from the pure elements**: 0.589 eV/atom

a b c (Å): 4.6694 4.6694 4.6694
angles (deg): 60.00 60.00 60.00
Fractional positions:
Tl: 0.0000 0.0000 0.0000
P: 0.2500 0.2500 0.2500
Au: 0.7500 0.7500 0.7500

---

Entry 5:
Material: Ho6Te3PbS2
Method: DFT, GGA-PBE
State: optimized geometry

Properties
**Formation energy from raw total energies**: -16.4 eV/f.u.

a b c (Å): 9.4800 9.4800 8.5001
angles (deg): 104.33 104.33 25.44
Fractional positions:
Ho: 0.0169 0.0169 0.2565
Ho: 0.3222 0.3222 0.4378
Ho: 0.3302 0.3302 0.8787
Ho: 0.6698 0.6698 0.1213
Ho: 0.6778 0.6778 0.5622
Ho: 0.9831 0.9831 0.7435
Te: 0.1615 0.1615 0.8317
Te: 0.5000 0.5000 0.5000
Te: 0.8385 0.8385 0.1683
Pb: 0.5000 0.5000 0.0000
S: 0.1701 0.1701 0.3400
S: 0.8299 0.8299 0.6600

---

Entry 6:
Material: Nb2Al5VCu2
Method: DFT, GGA-PBE
State: optimized geometry

Properties
**Energy of formation from the pure elements**: -0.093 eV/atom

a b c (Å): 9.9424 9.9424 3.0727
angles (deg): 90.00 90.00 90.00
Fractional positions:
Nb: 0.1752 0.3248 0.0000
Nb: 0.3248 0.8248 0.0000
Nb: 0.6752 0.1752 0.0000
Nb: 0.8248 0.6752 0.0000
Al: 0.0000 0.5000 0.5000
Al: 0.0476 0.7996 0.5000
Al: 0.2004 0.0476 0.5000
Al: 0.2996 0.5476 0.5000
Al: 0.4524 0.2996 0.5000
Al: 0.5000 0.0000 0.5000
Al: 0.5476 0.7004 0.5000
Al: 0.7004 0.4524 0.5000
Al: 0.7996 0.9524 0.5000
Al: 0.9524 0.2004 0.5000
V: 0.0000 0.0000 0.0000
V: 0.5000 0.5000 0.0000
Cu: 0.1323 0.6323 0.0000
Cu: 0.3677 0.1323 0.0000
Cu: 0.6323 0.8677 0.0000
Cu: 0.8677 0.3677 0.0000

---

Entry 7:
Material: Mn3Ni12Mo
Method: DFT, GGA-PBE
State: optimized geometry

Properties
**Energy of formation from the pure elements**: -0.090 eV/atom

a b c (Å): 3.5858 3.5858 14.3673
angles (deg): 90.00 90.00 90.00
Fractional positions:
Mn: 0.0000 0.0000 0.0000
Mn: 0.0000 0.0000 0.2452
Mn: 0.0000 0.0000 0.7548
Ni: 0.0000 0.5000 0.1238
Ni: 0.0000 0.5000 0.3748
Ni: 0.0000 0.5000 0.6252
Ni: 0.0000 0.5000 0.8762
Ni: 0.5000 0.0000 0.1238
Ni: 0.5000 0.0000 0.3748
Ni: 0.5000 0.0000 0.6252
Ni: 0.5000 0.0000 0.8762
Ni: 0.5000 0.5000 0.0000
Ni: 0.5000 0.5000 0.2497
Ni: 0.5000 0.5000 0.5000
Ni: 0.5000 0.5000 0.7503
Mo: 0.0000 0.0000 0.5000

---

Entry 8:
Material: KMnCl2
Method: DFT, GGA-PBE
State: optimized geometry

Properties
**Formation energy from raw total energies**: -3.5 eV/f.u.
**Relative energy among the computed polymorphs**: 118 meV/atom

a b c (Å): 4.1072 4.1072 7.1174
angles (deg): 107.08 107.08 59.15
Fractional positions:
K: 0.0000 0.0000 0.0000
Mn: 0.5000 0.5000 0.5000
Cl: 0.2281 0.2281 0.6934
Cl: 0.7719 0.7719 0.3066

---

So what do the calculations give for calculated total energy? Going down the list: -9.0, -58.6, -44.4, -9.3, -65.2, -114.2, -109.2, -17.4 eV/cell.